Entry 1:
# BaLi2SmSb2

A geometry-optimized BaLi2SmSb2 structure (PBE, Alexandria via LeMat-Bulk).

Cell lengths 4.832, 4.832, 8.243 Å; angles 90.00, 90.00, 120.00 degrees
Positions (direct):
Ba 0.000 0.000 0.000
Li 0.333 0.667 0.691
Li 0.667 0.333 0.309
Sm 0.000 0.000 0.500
Sb 0.333 0.667 0.283
Sb 0.667 0.333 0.717

Summary:
* calculated volume: 27.8 A^3/atom
* space-group type: No. 164
* raw formation energy: -0.884 eV per atom

Entry 2:
# Ba2Li4SnSb3

A geometry-optimized Ba2Li4SnSb3 structure (PBE, Alexandria via LeMat-Bulk).

Cell lengths 4.719, 4.719, 12.063 Å; angles 90.00, 90.00, 90.00 degrees
Positions (direct):
Ba 0.000 0.500 0.237
Ba 0.500 0.000 0.763
Li 0.000 0.000 0.000
Li 0.000 0.500 0.642
Li 0.500 0.000 0.358
Li 0.500 0.500 0.000
Sn 0.000 0.000 0.500
Sb 0.000 0.500 0.868
Sb 0.500 0.000 0.132
Sb 0.500 0.500 0.500

Summary:
* calculated volume: 26.9 A^3/atom
* space-group type: No. 115
* raw formation energy: -0.746 eV per atom